Below is an optimized crystal structure of Hf2ZrFeB, with properties calculated at the GGA-PBE level.

Cell: 5.142 5.142 4.316 Å, 90.00 90.00 90.00°
Element x y z (fractional)
Hf  0.000  0.500  0.000
Hf  0.500  0.000  0.000
Zr  0.000  0.000  0.000
Fe  0.000  0.000  0.500
B  0.500  0.500  0.500

## Properties
- D(E_F): 1.181 states/eV per atom
- Space-group type: P4/mmm, No. 123
- DFT formation energy: 2.0819 eV/atom
- Crystal system: tetragonal
- V: 114 Å³ per cell

Below is an optimized crystal structure of Fe3HgB, with properties calculated at the GGA-PBE level.

Cell: 4.832 4.832 4.832 Å, 90.00 90.00 90.00°
Element x y z (fractional)
Fe  0.000  0.000  0.500
Fe  0.000  0.500  0.000
Fe  0.500  0.000  0.000
Hg  0.000  0.000  0.000
B  0.500  0.500  0.500

## Properties
- Distance to the lowest polymorph of the same formula: 2207 meV per atom
- D(E_F): 1.829 states/eV per atom
- Space-group type: Pm-3m, No. 221
- DFT formation energy: 2.3956 eV/atom
- Crystal system: cubic
- V: 113 Å³ per cell

Below is an optimized crystal structure of FeHgB3, with properties calculated at the GGA-PBE level.

Cell: 4.241 4.241 4.241 Å, 90.00 90.00 90.00°
Element x y z (fractional)
Fe  0.000  0.000  0.000
Hg  0.500  0.500  0.500
B  0.000  0.500  0.500
B  0.500  0.000  0.500
B  0.500  0.500  0.000

## Properties
- Distance to the lowest polymorph of the same formula: 1842 meV per atom
- D(E_F): 1.529 states/eV per atom
- Space-group type: Pm-3m, No. 221
- DFT formation energy: 2.8539 eV/atom
- Crystal system: cubic
- V: 76 Å³ per cell

Below is an optimized crystal structure of Fe3HgB, with properties calculated at the GGA-PBE level.

Cell: 3.967 3.967 3.967 Å, 90.00 90.00 90.00°
Element x y z (fractional)
Fe  0.000  0.000  0.500
Fe  0.000  0.500  0.000
Fe  0.500  0.000  0.000
Hg  0.500  0.500  0.500
B  0.000  0.000  0.000

## Properties
- Distance to the lowest polymorph of the same formula: 0 meV per atom
- D(E_F): 1.271 states/eV per atom
- Space-group type: Pm-3m, No. 221
- DFT formation energy: 0.1882 eV/atom
- Crystal system: cubic
- V: 62 Å³ per cell

Which theoretical density belongs to each record? In order, 7.49 5.58 6.29 10.08 g cm⁻³.
Which calculated total energy belongs to each record? In order, -6.637 -4.078 -2.905 -6.285 eV/atom.